! VRh PBE relaxed; values from VASP
! space group = No. 65
! energy = -0.317 Ha/atom
! ΔH_f (0 K) = -391 meV per atom
&SYSTEM
  ibrav = 0, nat = 4, ntyp = 2
/
ATOMIC_SPECIES
V 50.94 V.upf
Rh 102.91 Rh.upf
CELL_PARAMETERS angstrom
2.929 -3.351 0.000
2.929 3.351 0.000
0.000 0.000 2.791
ATOMIC_POSITIONS crystal
V 0.204 0.204 0.000
V 0.796 0.796 0.000
Rh 0.286 0.714 0.500
Rh 0.714 0.286 0.500